# Sr2TlSi | Alexandria | PBE | optimized geometry
# Total moment (μB per formula unit): 0.000
# Formation energy from raw total energies (eV/f.u.): 0.12
data_Sr2TlSi
_cell_length_a 8.7500
_cell_length_b 8.7500
_cell_length_c 7.4098
_cell_angle_alpha 90.00
_cell_angle_beta 90.00
_cell_angle_gamma 90.00
_space_group_name_H-M_alt 'I -4 2 d'
_space_group_IT_number 122
_space_group_name_Hall 'I -4 2bw'
loop_
_atom_site_label
_atom_site_type_symbol
_atom_site_fract_x
_atom_site_fract_y
_atom_site_fract_z
_atom_site_occupancy
Sr1 Sr 0.2193 0.7500 0.1250 1
Tl1 Tl 0.0000 0.0000 0.5000 1
Si1 Si 0.0000 0.0000 0.0000 1

***

# Sr2TlSi | Alexandria | PBE | optimized geometry
# Total moment (μB per formula unit): 0.000
# Formation energy from raw total energies (eV/f.u.): 0.35
data_Sr2TlSi
_cell_length_a 7.9517
_cell_length_b 7.9517
_cell_length_c 7.9517
_cell_angle_alpha 90.00
_cell_angle_beta 90.00
_cell_angle_gamma 90.00
_space_group_name_H-M_alt 'F -4 3 m'
_space_group_IT_number 216
_space_group_name_Hall 'F -4 2 3'
loop_
_atom_site_label
_atom_site_type_symbol
_atom_site_fract_x
_atom_site_fract_y
_atom_site_fract_z
_atom_site_occupancy
Sr1 Sr 0.0000 0.0000 0.0000 1
Sr2 Sr 0.2500 0.2500 0.2500 1
Tl1 Tl 0.2500 0.2500 0.7500 1
Si1 Si 0.0000 0.0000 0.5000 1

***

# Sr8Tl2Si | Alexandria | PBE | optimized geometry
# Total moment (μB per formula unit): 0.707
# Formation energy from raw total energies (eV/f.u.): -2.61
data_Sr8Tl2Si
_cell_length_a 20.2072
_cell_length_b 5.7746
_cell_length_c 7.9034
_cell_angle_alpha 90.00
_cell_angle_beta 108.70
_cell_angle_gamma 90.00
_space_group_name_H-M_alt 'C 1 2/m 1'
_space_group_IT_number 12
loop_
_space_group_symop_operation_xyz
'x,y,z'
'-x,-y,-z'
'-x,y,-z'
'x,-y,z'
'x+1/2,y+1/2,z'
'-x+1/2,-y+1/2,-z'
'-x+1/2,y+1/2,-z'
'x+1/2,-y+1/2,z'
loop_
_atom_site_label
_atom_site_type_symbol
_atom_site_fract_x
_atom_site_fract_y
_atom_site_fract_z
_atom_site_occupancy
Sr1 Sr 0.0263 0.0000 0.2961 1
Sr2 Sr 0.0934 0.5000 0.9265 1
Sr3 Sr 0.1584 0.5000 0.4579 1
Sr4 Sr 0.2082 0.0000 0.8058 1
Tl1 Tl 0.1805 0.0000 0.2040 1
Si1 Si 0.0000 0.5000 0.5000 1

***

# Sr2TlSi | Alexandria | PBE | optimized geometry
# Total moment (μB per formula unit): 0.000
# Formation energy from raw total energies (eV/f.u.): -1.48
data_Sr2TlSi
_cell_length_a 4.5116
_cell_length_b 4.7884
_cell_length_c 11.9921
_cell_angle_alpha 90.00
_cell_angle_beta 90.00
_cell_angle_gamma 90.00
_space_group_name_H-M_alt 'A m m 2'
_space_group_IT_number 38
loop_
_space_group_symop_operation_xyz
'x,y,z'
'-x,-y,z'
'-x,y,z'
'x,-y,z'
'x,y+1/2,z+1/2'
'-x,-y+1/2,z+1/2'
'-x,y+1/2,z+1/2'
'x,-y+1/2,z+1/2'
loop_
_atom_site_label
_atom_site_type_symbol
_atom_site_fract_x
_atom_site_fract_y
_atom_site_fract_z
_atom_site_occupancy
Sr1 Sr 0.0000 0.0000 0.0000 1
Sr2 Sr 0.5000 0.0000 0.2789 1
Tl1 Tl 0.0000 0.0000 0.7078 1
Si1 Si 0.5000 0.0000 0.5621 1

***

# SrTl2Si | Alexandria | PBE | optimized geometry
# Polymorph energy (0 for the lowest one) (meV per atom): 92.9
# Total moment (μB per formula unit): 0.000
# Formation energy from raw total energies (eV/f.u.): 0.03
data_SrTl2Si
_cell_length_a 3.9606
_cell_length_b 3.9606
_cell_length_c 7.2267
_cell_angle_alpha 90.00
_cell_angle_beta 90.00
_cell_angle_gamma 90.00
_space_group_name_H-M_alt 'P 4 m m'
_space_group_IT_number 99
loop_
_space_group_symop_operation_xyz
'x,y,z'
'-y,x,z'
'-x,-y,z'
'y,-x,z'
'-x,y,z'
'y,x,z'
'x,-y,z'
'-y,-x,z'
loop_
_atom_site_label
_atom_site_type_symbol
_atom_site_fract_x
_atom_site_fract_y
_atom_site_fract_z
_atom_site_occupancy
Sr1 Sr 0.0000 0.0000 0.0000 1
Tl1 Tl 0.0000 0.0000 0.5423 1
Tl2 Tl 0.5000 0.5000 0.3066 1
Si1 Si 0.5000 0.5000 0.7210 1

***

# SrTl4Si | Alexandria | PBE | optimized geometry
# Total moment (μB per formula unit): 0.000
# Formation energy from raw total energies (eV/f.u.): 1.16
data_SrTl4Si
_cell_length_a 9.0392
_cell_length_b 9.0392
_cell_length_c 9.0392
_cell_angle_alpha 90.00
_cell_angle_beta 90.00
_cell_angle_gamma 90.00
_space_group_name_H-M_alt 'F -4 3 m'
_space_group_IT_number 216
_space_group_name_Hall 'F -4 2 3'
loop_
_atom_site_label
_atom_site_type_symbol
_atom_site_fract_x
_atom_site_fract_y
_atom_site_fract_z
_atom_site_occupancy
Sr1 Sr 0.0000 0.0000 0.0000 1
Tl1 Tl 0.1242 0.1242 0.6242 1
Si1 Si 0.2500 0.2500 0.2500 1

***

# SrTmSi | Alexandria | PBE | optimized geometry
# Total moment (μB per formula unit): 0.924
# Formation energy from raw total energies (eV/f.u.): -1.24
data_SrTmSi
_cell_length_a 4.7130
_cell_length_b 4.7130
_cell_length_c 7.9938
_cell_angle_alpha 90.00
_cell_angle_beta 90.00
_cell_angle_gamma 90.00
_space_group_name_H-M_alt 'P 4/n m m'
_space_group_IT_number 129
loop_
_space_group_symop_operation_xyz
'x,y,z'
'-x,-y,-z'
'-y+1/2,x,z'
'y+1/2,-x,-z'
'-x+1/2,-y+1/2,z'
'x+1/2,y+1/2,-z'
'y,-x+1/2,z'
'-y,x+1/2,-z'
'x+1/2,-y,-z'
'-x+1/2,y,z'
'-y,-x,-z'
'y,x,z'
'-x,y+1/2,-z'
'x,-y+1/2,z'
'y+1/2,x+1/2,-z'
'-y+1/2,-x+1/2,z'
loop_
_atom_site_label
_atom_site_type_symbol
_atom_site_fract_x
_atom_site_fract_y
_atom_site_fract_z
_atom_site_occupancy
Sr1 Sr 0.2500 0.2500 0.1413 1
Tm1 Tm 0.2500 0.7500 0.5000 1
Si1 Si 0.2500 0.2500 0.7235 1

***

# SrTmSi3 | Alexandria | PBE | optimized geometry
# Total moment (μB per formula unit): 0.000
# Formation energy from raw total energies (eV/f.u.): -2.53
data_SrTmSi3
_cell_length_a 4.4605
_cell_length_b 24.8946
_cell_length_c 3.9223
_cell_angle_alpha 90.00
_cell_angle_beta 90.00
_cell_angle_gamma 90.00
_space_group_name_H-M_alt 'C m c m'
_space_group_IT_number 63
_space_group_name_Hall '-C 2c 2'
loop_
_atom_site_label
_atom_site_type_symbol
_atom_site_fract_x
_atom_site_fract_y
_atom_site_fract_z
_atom_site_occupancy
Sr1 Sr 0.0000 0.0738 0.2500 1
Tm1 Tm 0.0000 0.2036 0.7500 1
Si1 Si 0.0000 0.3180 0.7500 1
Si2 Si 0.0000 0.3758 0.2500 1
Si3 Si 0.0000 0.4741 0.2500 1

***

# SrTm4Si4 | Alexandria | PBE | optimized geometry
# Total moment (μB per formula unit): 0.000
# Formation energy from raw total energies (eV/f.u.): -4.66
data_SrTm4Si4
_cell_length_a 9.3489
_cell_length_b 9.3489
_cell_length_c 5.6079
_cell_angle_alpha 90.00
_cell_angle_beta 90.00
_cell_angle_gamma 90.00
_space_group_name_H-M_alt 'P 42/n'
_space_group_IT_number 86
loop_
_space_group_symop_operation_xyz
'x,y,z'
'-x,-y,-z'
'-y,x+1/2,z+1/2'
'y,-x+1/2,-z+1/2'
'-x+1/2,-y+1/2,z'
'x+1/2,y+1/2,-z'
'y+1/2,-x,z+1/2'
'-y+1/2,x,-z+1/2'
loop_
_atom_site_label
_atom_site_type_symbol
_atom_site_fract_x
_atom_site_fract_y
_atom_site_fract_z
_atom_site_occupancy
Sr1 Sr 0.2500 0.2500 0.2500 1
Tm1 Tm 0.1149 0.6306 0.1292 1
Si1 Si 0.0638 0.5764 0.6402 1

***

# SrVSi | Alexandria | PBE | optimized geometry
# Total moment (μB per formula unit): 0.000
# Formation energy from raw total energies (eV/f.u.): -0.78
data_SrVSi
_cell_length_a 3.9918
_cell_length_b 3.9918
_cell_length_c 9.3386
_cell_angle_alpha 90.00
_cell_angle_beta 90.00
_cell_angle_gamma 90.00
_space_group_name_H-M_alt 'P 4/n m m'
_space_group_IT_number 129
loop_
_space_group_symop_operation_xyz
'x,y,z'
'-x,-y,-z'
'-y+1/2,x,z'
'y+1/2,-x,-z'
'-x+1/2,-y+1/2,z'
'x+1/2,y+1/2,-z'
'y,-x+1/2,z'
'-y,x+1/2,-z'
'x+1/2,-y,-z'
'-x+1/2,y,z'
'-y,-x,-z'
'y,x,z'
'-x,y+1/2,-z'
'x,-y+1/2,z'
'y+1/2,x+1/2,-z'
'-y+1/2,-x+1/2,z'
loop_
_atom_site_label
_atom_site_type_symbol
_atom_site_fract_x
_atom_site_fract_y
_atom_site_fract_z
_atom_site_occupancy
Sr1 Sr 0.2500 0.2500 0.1857 1
V1 V 0.2500 0.7500 0.5000 1
Si1 Si 0.2500 0.2500 0.6604 1

***

# SrVSi2 | Alexandria | PBE | optimized geometry
# Polymorph energy (0 for the lowest one) (meV per atom): 222.9
# Total moment (μB per formula unit): 2.938
# Formation energy from raw total energies (eV/f.u.): 1.05
data_SrVSi2
_cell_length_a 6.8182
_cell_length_b 6.8182
_cell_length_c 6.8182
_cell_angle_alpha 90.00
_cell_angle_beta 90.00
_cell_angle_gamma 90.00
_space_group_name_H-M_alt 'F m -3 m'
_space_group_IT_number 225
_space_group_name_Hall '-F 4 2 3'
loop_
_atom_site_label
_atom_site_type_symbol
_atom_site_fract_x
_atom_site_fract_y
_atom_site_fract_z
_atom_site_occupancy
Sr1 Sr 0.0000 0.0000 0.0000 1
V1 V 0.0000 0.0000 0.5000 1
Si1 Si 0.2500 0.2500 0.2500 1

***

# Sr3VSi | Alexandria | PBE | optimized geometry
# Polymorph energy (0 for the lowest one) (meV per atom): 0.0
# Total moment (μB per formula unit): 4.852
# Formation energy from raw total energies (eV/f.u.): 2.59
data_Sr3VSi
_cell_length_a 6.0174
_cell_length_b 6.0174
_cell_length_c 6.0174
_cell_angle_alpha 90.00
_cell_angle_beta 90.00
_cell_angle_gamma 90.00
_space_group_name_H-M_alt 'P m -3 m'
_space_group_IT_number 221
_space_group_name_Hall '-P 4 2 3'
loop_
_atom_site_label
_atom_site_type_symbol
_atom_site_fract_x
_atom_site_fract_y
_atom_site_fract_z
_atom_site_occupancy
Sr1 Sr 0.0000 0.0000 0.5000 1
V1 V 0.5000 0.5000 0.5000 1
Si1 Si 0.0000 0.0000 0.0000 1

***

What did the third record say?
# Sr8Tl2Si | Alexandria | PBE | optimized geometry
# Total moment (μB per formula unit): 0.707
# Formation energy from raw total energies (eV/f.u.): -2.61
data_Sr8Tl2Si
_cell_length_a 20.2072
_cell_length_b 5.7746
_cell_length_c 7.9034
_cell_angle_alpha 90.00
_cell_angle_beta 108.70
_cell_angle_gamma 90.00
_space_group_name_H-M_alt 'C 1 2/m 1'
_space_group_IT_number 12
loop_
_space_group_symop_operation_xyz
'x,y,z'
'-x,-y,-z'
'-x,y,-z'
'x,-y,z'
'x+1/2,y+1/2,z'
'-x+1/2,-y+1/2,-z'
'-x+1/2,y+1/2,-z'
'x+1/2,-y+1/2,z'
loop_
_atom_site_label
_atom_site_type_symbol
_atom_site_fract_x
_atom_site_fract_y
_atom_site_fract_z
_atom_site_occupancy
Sr1 Sr 0.0263 0.0000 0.2961 1
Sr2 Sr 0.0934 0.5000 0.9265 1
Sr3 Sr 0.1584 0.5000 0.4579 1
Sr4 Sr 0.2082 0.0000 0.8058 1
Tl1 Tl 0.1805 0.0000 0.2040 1
Si1 Si 0.0000 0.5000 0.5000 1

***

Which of these has the highest formation energy from raw total energies? Sr3VSi

***

Please write out number 1 again, unchanged.
# Sr2TlSi | Alexandria | PBE | optimized geometry
# Total moment (μB per formula unit): 0.000
# Formation energy from raw total energies (eV/f.u.): 0.12
data_Sr2TlSi
_cell_length_a 8.7500
_cell_length_b 8.7500
_cell_length_c 7.4098
_cell_angle_alpha 90.00
_cell_angle_beta 90.00
_cell_angle_gamma 90.00
_space_group_name_H-M_alt 'I -4 2 d'
_space_group_IT_number 122
_space_group_name_Hall 'I -4 2bw'
loop_
_atom_site_label
_atom_site_type_symbol
_atom_site_fract_x
_atom_site_fract_y
_atom_site_fract_z
_atom_site_occupancy
Sr1 Sr 0.2193 0.7500 0.1250 1
Tl1 Tl 0.0000 0.0000 0.5000 1
Si1 Si 0.0000 0.0000 0.0000 1